A plane-wave DFT calculation with PBE-GGA was carried out for a relaxed PmHo2Os crystal.

It has space group Pnma (No. 62), with a = 7.448 Å, b = 9.075 Å, c = 6.390 Å, α = 90.00°, β = 90.00° and γ = 90.00°. The asymmetric unit holds Pm at (0.039, 0.250, 0.128), Ho at (0.174, 0.064, 0.664) and Os at (0.116, 0.750, 0.451).

The calculation puts the energy above the lowest structure with this stoichiometry at 0.00 eV/f.u. The value obtained for the total magnetization is 0.00 μB/f.u.

A plane-wave DFT calculation with PBE-GGA was carried out for a relaxed CeMnTcC3 crystal.

It has space group P2_1/m (No. 11), with a = 6.577 Å, b = 3.202 Å, c = 7.618 Å, α = 90.00°, β = 106.76° and γ = 90.00°. The asymmetric unit holds Ce at (0.200, 0.250, 0.216), Mn at (0.118, 0.250, 0.608), Tc at (0.343, 0.750, 0.886), C at (0.116, 0.250, 0.855), C at (0.182, 0.750, 0.512) and C at (0.458, 0.750, 0.166).

The value obtained for the total magnetization is 0.00 μB/f.u.

A plane-wave DFT calculation with PBE-GGA was carried out for a relaxed AcLa2Ag3 crystal.

It has space group P4/mmm (No. 123), with a = 3.864 Å, b = 3.864 Å, c = 11.648 Å, α = 90.00°, β = 90.00° and γ = 90.00°. The asymmetric unit holds Ac at (0.000, 0.000, 0.000), La at (0.000, 0.000, 0.337), Ag at (0.500, 0.500, 0.178) and Ag at (0.500, 0.500, 0.500).

The value obtained for the total magnetization is 0.00 μB/f.u.

A plane-wave DFT calculation with PBE-GGA was carried out for a relaxed Y3Ho5As8 crystal.

It has space group R-3m (No. 166, hexagonal axes), with a = 8.2166 Å, b = 8.2166 Å, c = 20.1281 Å, α = 90.00°, β = 90.00° and γ = 120.00°. The asymmetric unit holds Y at (0.0000, 0.5000, 0.0000), Ho at (0.0000, 0.0000, 0.0000), Ho at (0.0000, 0.0000, 0.5000), Ho at (0.0000, 0.5000, 0.5000), As at (0.0000, 0.0000, 0.2494) and As at (0.0008, 0.5004, 0.7504).

The value obtained for the total magnetization is 0.00 μB/f.u.

no.,energy of formation from the pure elements (kJ per mole of atoms)
1,-21.8
2,6.8
3,-24.9
4,-148.5